# 1
{"formula": "DyPuBiTe", "functional": "PBE-GGA", "state": "optimized geometry", "n_ef_per_ev_fu": 12.677, "e_form_raw_mev_per_atom": -929.4, "lattice_angstrom": [[4.464, 0.000, 0.000], [2.232, 3.866, 0.000], [2.232, 1.289, 7.268]], "species": ["Dy", "Pu", "Bi", "Te"], "fractional_positions": [[0.694, 0.694, 0.918], [0.195, 0.195, 0.415], [0.442, 0.442, 0.673], [0.945, 0.945, 0.164]]}



# 2
{"formula": "Hg2PtRh", "functional": "PBE-GGA", "state": "optimized geometry", "n_ef_per_ev_fu": 3.890, "formation_energy_ev_per_atom": 0.2310, "lattice_angstrom": [[9.672, -1.485, 0.016], [9.672, 1.485, 0.016], [9.440, 0.000, 2.578]], "species": ["Pt", "Hg", "Hg", "Rh"], "fractional_positions": [[0.494, 0.494, 0.494], [0.244, 0.244, 0.244], [0.008, 0.008, 0.008], [0.754, 0.754, 0.754]]}



# 3
{"formula": "Cr4FeRh", "functional": "PBE-GGA", "state": "optimized geometry", "n_ef_per_ev_fu": 5.553, "formation_energy_ev_per_atom": 0.1133, "lattice_angstrom": [[-4.101, -1.622, 1.584], [-3.350, 2.996, 1.326], [-3.871, 0.485, -2.595]], "species": ["Cr", "Cr", "Cr", "Cr", "Rh", "Fe"], "fractional_positions": [[0.377, 0.869, 0.377], [0.377, 0.377, 0.869], [0.377, 0.377, 0.377], [0.869, 0.377, 0.377], [0.000, 0.000, 0.000], [0.750, 0.750, 0.750]]}